Mg5Tl3I12: optimized geometry, PBE.

CIF file:
```
data_Mg5Tl3I12
_space_group_name_H-M_alt 'I a -3 d'
_space_group_IT_number 230
_space_group_name_Hall '-I 4bd 2c 3'
_cell_length_a 18.830
_cell_length_b 18.830
_cell_length_c 18.830
_cell_angle_alpha 90.00
_cell_angle_beta 90.00
_cell_angle_gamma 90.00
loop_
_atom_site_label
_atom_site_type_symbol
_atom_site_fract_x
_atom_site_fract_y
_atom_site_fract_z
_atom_site_occupancy
Mg1 Mg 0.000 0.000 0.000 1
Mg2 Mg 0.000 0.250 0.375 1
Tl1 Tl 0.000 0.250 0.125 1
I1 I 0.033 0.055 0.648 1
```

Summary:
The total energy comes out at -2.49 eV per atom. The density of states at the Fermi level is 36.6 states/eV per cell. For the energy relative to the elements, uncorrected, the calculation gives -0.810 eV per atom.

BPt2Pb: optimized geometry, PBE.

CIF file:
```
data_BPt2Pb
_space_group_name_H-M_alt 'R -3 m'
_space_group_IT_number 166
_space_group_name_Hall '-R 3 2"'
_cell_length_a 3.4530
_cell_length_b 3.4530
_cell_length_c 19.9848
_cell_angle_alpha 90.00
_cell_angle_beta 90.00
_cell_angle_gamma 120.00
loop_
_atom_site_label
_atom_site_type_symbol
_atom_site_fract_x
_atom_site_fract_y
_atom_site_fract_z
_atom_site_occupancy
B1 B 0.0000 0.0000 0.0000 1
Pt1 Pt 0.0000 0.0000 0.2839 1
Pb1 Pb 0.0000 0.0000 0.5000 1
```

Summary:
The relative energy among the computed polymorphs is 135 meV per atom. The total energy comes out at -5.70 eV per atom. The value obtained for the energy of formation is -80 meV per atom. The density of states at the Fermi level is 5.0 states/eV per cell.

ScTa2Sb: optimized geometry, PBE.

CIF file:
```
data_ScTa2Sb
_space_group_name_H-M_alt 'C 1 2/m 1'
_space_group_IT_number 12
_space_group_name_Hall '-C 2y'
_cell_length_a 10.471
_cell_length_b 3.709
_cell_length_c 4.487
_cell_angle_alpha 90.00
_cell_angle_beta 115.26
_cell_angle_gamma 90.00
loop_
_atom_site_label
_atom_site_type_symbol
_atom_site_fract_x
_atom_site_fract_y
_atom_site_fract_z
_atom_site_occupancy
Sc1 Sc 0.000 0.000 0.000 1
Ta1 Ta 0.250 0.000 0.750 1
Sb1 Sb 0.000 0.500 0.500 1
```

Summary:
The total energy comes out at -8.61 eV per atom. The density of states at the Fermi level is 7.5 states/eV per cell. For the energy relative to the elements, uncorrected, the calculation gives -0.067 eV per atom.

NaCd6Hg3: optimized geometry, PBE.

CIF file:
```
data_NaCd6Hg3
_space_group_name_H-M_alt 'R 3 m'
_space_group_IT_number 160
_space_group_name_Hall 'R 3 -2"'
_cell_length_a 10.0796
_cell_length_b 10.0796
_cell_length_c 11.4523
_cell_angle_alpha 90.00
_cell_angle_beta 90.00
_cell_angle_gamma 120.00
loop_
_atom_site_label
_atom_site_type_symbol
_atom_site_fract_x
_atom_site_fract_y
_atom_site_fract_z
_atom_site_occupancy
Na1 Na 0.0000 0.0000 0.0000 1
Cd1 Cd 0.0961 0.1922 0.2557 1
Cd2 Cd 0.1966 0.0983 0.4793 1
Hg1 Hg 0.2128 0.1064 0.7682 1
```

Summary:
The relative energy among the computed polymorphs is 133 meV per atom. The total energy comes out at -0.67 eV per atom. The value obtained for the energy of formation is 105 meV per atom. The density of states at the Fermi level is 9.1 states/eV per cell.

BaHBr: optimized geometry, PBE.

CIF file:
```
data_BaHBr
_space_group_name_H-M_alt 'I 4/m m m'
_space_group_IT_number 139
_space_group_name_Hall '-I 4 2'
_cell_length_a 5.042
_cell_length_b 5.042
_cell_length_c 14.214
_cell_angle_alpha 90.00
_cell_angle_beta 90.00
_cell_angle_gamma 90.00
loop_
_atom_site_label
_atom_site_type_symbol
_atom_site_fract_x
_atom_site_fract_y
_atom_site_fract_z
_atom_site_occupancy
Ba1 Ba 0.000 0.000 0.152 1
H1 H 0.000 0.500 0.250 1
Br1 Br 0.000 0.500 0.000 1
```

Summary:
The total energy comes out at -3.54 eV per atom. The density of states at the Fermi level is 0.0 states/eV per cell.

CsNa3Li: optimized geometry, PBE.

CIF file:
```
data_CsNa3Li
_space_group_name_H-M_alt 'P m -3 m'
_space_group_IT_number 221
_space_group_name_Hall '-P 4 2 3'
_cell_length_a 6.235
_cell_length_b 6.235
_cell_length_c 6.235
_cell_angle_alpha 90.00
_cell_angle_beta 90.00
_cell_angle_gamma 90.00
loop_
_atom_site_label
_atom_site_type_symbol
_atom_site_fract_x
_atom_site_fract_y
_atom_site_fract_z
_atom_site_occupancy
Cs1 Cs 0.000 0.000 0.000 1
Na1 Na 0.000 0.500 0.500 1
Li1 Li 0.500 0.500 0.500 1
```

Summary:
The relative energy among the computed polymorphs is 9 meV per atom. The total energy comes out at -1.25 eV per atom. The value obtained for the energy of formation is 93 meV per atom. The density of states at the Fermi level is 2.4 states/eV per cell.

AgBr: optimized geometry, PBE.

CIF file:
```
data_AgBr
_space_group_name_H-M_alt 'P -3 m 1'
_space_group_IT_number 164
_space_group_name_Hall '-P 3 2"'
_cell_length_a 4.4761
_cell_length_b 4.4761
_cell_length_c 7.1404
_cell_angle_alpha 90.00
_cell_angle_beta 90.00
_cell_angle_gamma 120.00
loop_
_atom_site_label
_atom_site_type_symbol
_atom_site_fract_x
_atom_site_fract_y
_atom_site_fract_z
_atom_site_occupancy
Ag1 Ag 0.3333 0.6667 0.1355 1
Br1 Br 0.3333 0.6667 0.7367 1
```

Summary:
The total energy comes out at -2.57 eV per atom. For the energy relative to the elements, uncorrected, the calculation gives -0.312 eV per atom.

Pr2Cd3Pt2: optimized geometry, PBE.

CIF file:
```
data_Pr2Cd3Pt2
_space_group_name_H-M_alt 'C 1 2/m 1'
_space_group_IT_number 12
_space_group_name_Hall '-C 2y'
_cell_length_a 10.209
_cell_length_b 4.511
_cell_length_c 7.607
_cell_angle_alpha 90.00
_cell_angle_beta 110.08
_cell_angle_gamma 90.00
loop_
_atom_site_label
_atom_site_type_symbol
_atom_site_fract_x
_atom_site_fract_y
_atom_site_fract_z
_atom_site_occupancy
Pr1 Pr 0.140 0.000 0.284 1
Cd1 Cd 0.000 0.500 0.500 1
Cd2 Cd 0.128 0.500 0.940 1
Pt1 Pt 0.158 0.000 0.698 1
```

Summary:
The relative energy among the computed polymorphs is 0 meV per atom. The total energy comes out at -4.19 eV per atom. The value obtained for the energy of formation is -704 meV per atom. The density of states at the Fermi level is 8.3 states/eV per cell.

Cs2Li2MgF6: optimized geometry, PBE.

CIF file:
```
data_Cs2Li2MgF6
_space_group_name_H-M_alt 'C 1 2/m 1'
_space_group_IT_number 12
_space_group_name_Hall '-C 2y'
_cell_length_a 10.425
_cell_length_b 6.013
_cell_length_c 6.787
_cell_angle_alpha 90.00
_cell_angle_beta 119.86
_cell_angle_gamma 90.00
loop_
_atom_site_label
_atom_site_type_symbol
_atom_site_fract_x
_atom_site_fract_y
_atom_site_fract_z
_atom_site_occupancy
Cs1 Cs 0.220 0.000 0.164 1
Li1 Li 0.095 0.500 0.289 1
Mg1 Mg 0.000 0.000 0.500 1
F1 F 0.008 0.239 0.292 1
F2 F 0.226 0.000 0.695 1
```

Summary:
The total energy comes out at -4.66 eV per atom. The density of states at the Fermi level is 0.0 states/eV per cell. For the energy relative to the elements, uncorrected, the calculation gives -2.994 eV per atom.

LaCo3N: optimized geometry, PBE.

CIF file:
```
data_LaCo3N
_space_group_name_H-M_alt 'P m -3 m'
_space_group_IT_number 221
_space_group_name_Hall '-P 4 2 3'
_cell_length_a 4.540
_cell_length_b 4.540
_cell_length_c 4.540
_cell_angle_alpha 90.00
_cell_angle_beta 90.00
_cell_angle_gamma 90.00
loop_
_atom_site_label
_atom_site_type_symbol
_atom_site_fract_x
_atom_site_fract_y
_atom_site_fract_z
_atom_site_occupancy
La1 La 0.000 0.000 0.000 1
Co1 Co 0.000 0.000 0.500 1
N1 N 0.500 0.500 0.500 1
```

Summary:
The relative energy among the computed polymorphs is 2526 meV per atom. The total energy comes out at -4.33 eV per atom. The density of states at the Fermi level is 5.9 states/eV per cell. For the energy relative to the elements, uncorrected, the calculation gives 2.582 eV per atom.

BaCdS2: optimized geometry, PBE.

CIF file:
```
data_BaCdS2
_space_group_name_H-M_alt 'I -4 m 2'
_space_group_IT_number 119
_space_group_name_Hall 'I -4 -2'
_cell_length_a 3.979
_cell_length_b 3.979
_cell_length_c 13.669
_cell_angle_alpha 90.00
_cell_angle_beta 90.00
_cell_angle_gamma 90.00
loop_
_atom_site_label
_atom_site_type_symbol
_atom_site_fract_x
_atom_site_fract_y
_atom_site_fract_z
_atom_site_occupancy
Ba1 Ba 0.000 0.000 0.000 1
Cd1 Cd 0.000 0.500 0.750 1
S1 S 0.000 0.000 0.372 1
```

Summary:
The total energy comes out at -4.04 eV per atom. The density of states at the Fermi level is 0.0 states/eV per cell. For the energy relative to the elements, uncorrected, the calculation gives -1.263 eV per atom.

CrNi14Ru: optimized geometry, PBE.

CIF file:
```
data_CrNi14Ru
_space_group_name_H-M_alt 'A m m 2'
_space_group_IT_number 38
_space_group_name_Hall 'A 2 -2'
_cell_length_a 8.194
_cell_length_b 4.999
_cell_length_c 8.734
_cell_angle_alpha 90.00
_cell_angle_beta 90.00
_cell_angle_gamma 90.00
loop_
_atom_site_label
_atom_site_type_symbol
_atom_site_fract_x
_atom_site_fract_y
_atom_site_fract_z
_atom_site_occupancy
Cr1 Cr 0.000 0.000 0.000 1
Ni1 Ni 0.000 0.249 0.752 1
Ni2 Ni 0.249 0.000 0.164 1
Ni3 Ni 0.252 0.249 0.915 1
Ni4 Ni 0.253 0.000 0.666 1
Ni5 Ni 0.500 0.000 0.331 1
Ni6 Ni 0.500 0.000 0.832 1
Ni7 Ni 0.500 0.250 0.082 1
Ru1 Ru 0.000 0.000 0.502 1
```

Summary:
The total energy comes out at -6.20 eV per atom. The value obtained for the energy of formation is 39 meV per atom. The density of states at the Fermi level is 55.8 states/eV per cell.